Material: MoAsBr2
Method: DFT, meta-GGA SCAN
State: PBEsol geometry

a = 3.0501 Å, b = 3.0501 Å, c = 9.1048 Å
α = 90.00°, β = 90.00°, γ = 90.00°
Element x y z (fractional)
As (0.5000, 0.5000, 0.6767)
Mo (0.0000, 0.0000, 0.5082)
Br (0.5000, 0.5000, 0.3277)
Br (0.0000, 0.0000, 0.9873)

For the volume, the calculation gives 84.70 Å³/cell. Its formation energy (no corrections) is 133 meV per atom. The energy relative to the lowest polymorph listed for this composition is 0.080 eV per atom. Its size of the total moment is 0.00 μB per formula unit. The calculation puts the density of states at the Fermi level at 0.56 states/eV per atom.